Na4NpS5 (GGA-PBE, relaxed); calculated total energy = -50.07 eV for the cell shown; formation energy from raw total energies = -1.12 eV/atom; space group = No. 87
1.0
-4.543 4.543 2.761
4.543 -4.543 2.761
4.543 4.543 -2.761
Na Np S
4 1 5
direct
0.104 0.299 0.402
0.299 0.896 0.195
0.701 0.104 0.805
0.896 0.701 0.598
0.500 0.500 0.000
0.000 0.000 0.000
0.235 0.580 0.815
0.420 0.235 0.655
0.580 0.765 0.345
0.765 0.420 0.185

=====

K2Tl3InHg4 (GGA-PBE, relaxed); formation enthalpy at 0 K = -0.113 eV/atom; calculated total energy = -14.37 eV for the cell shown; space group = No. 115
1.0
5.440 0.000 0.000
0.000 5.440 0.000
0.000 0.000 11.573
K Tl In Hg
2 3 1 4
direct
0.000 0.500 0.242
0.500 0.000 0.758
0.000 0.500 0.880
0.500 0.000 0.120
0.500 0.500 0.500
0.000 0.000 0.500
0.000 0.000 0.000
0.000 0.500 0.621
0.500 0.000 0.379
0.500 0.500 0.000

=====

InRe2Br (GGA-PBE, relaxed); relative energy among the computed polymorphs = 898 meV per atom; calculated total energy = -49.20 eV for the cell shown; formation energy from raw total energies = 1.18 eV/atom; space group = No. 65
1.0
2.883 0.000 0.000
0.000 5.253 0.000
0.000 0.000 9.478
In Re Br
2 4 2
direct
0.000 0.000 0.000
0.500 0.500 0.000
0.000 0.500 0.254
0.000 0.500 0.746
0.500 0.000 0.254
0.500 0.000 0.746
0.000 0.000 0.500
0.500 0.500 0.500

=====

Dy6Ho3Er2Zr (GGA-PBE, relaxed); formation enthalpy at 0 K = 0.042 eV/atom; calculated total energy = -58.52 eV for the cell shown; space group = No. 12
1.0
3.032 -5.241 0.000
3.032 5.241 0.000
-1.999 0.000 11.409
Dy Ho Er Zr
6 3 2 1
direct
0.082 0.409 0.745
0.245 0.245 0.256
0.409 0.082 0.745
0.591 0.918 0.255
0.755 0.755 0.744
0.918 0.591 0.255
0.167 0.833 0.000
0.500 0.500 0.000
0.833 0.167 0.000
0.333 0.667 0.500
0.667 0.333 0.500
0.000 0.000 0.500

=====

Ag2PbSe (GGA-PBE, relaxed); calculated total energy = -49.46 eV for the cell shown; formation energy from raw total energies = 0.13 eV/atom; space group = No. 216
1.0
7.192 0.000 0.000
0.000 7.192 0.000
0.000 0.000 7.192
Ag Pb Se
8 4 4
direct
0.000 0.000 0.000
0.000 0.500 0.500
0.250 0.250 0.250
0.250 0.750 0.750
0.500 0.000 0.500
0.500 0.500 0.000
0.750 0.250 0.750
0.750 0.750 0.250
0.000 0.000 0.500
0.000 0.500 0.000
0.500 0.000 0.000
0.500 0.500 0.500
0.250 0.250 0.750
0.250 0.750 0.250
0.750 0.250 0.250
0.750 0.750 0.750

=====

Q: Look up the calculated total energy of the fifth one.
A: -49.46 eV for the cell shown

=====

Q: Which value of calculated total energy does entry 3 give?
A: -49.20 eV for the cell shown

=====

Q: Among the records above, which one has the lowest calculated total energy?
A: Dy6Ho3Er2Zr

=====

Q: What is the calculated total energy in the fifth record?
A: -49.46 eV for the cell shown